# 1
Entry from Alexandria via LeMat-Bulk: a relaxed structure of Rb2TcAu (GGA-PBE).

Results
total energy: -2.75 eV/atom
ΔH_f (0 K): 1.14 eV per atom
distance to the lowest polymorph of the same formula: 246 meV per atom
crystal system: cubic

a = 8.401 Å, b = 8.401 Å, c = 8.401 Å
α = 90.00°, β = 90.00°, γ = 90.00°
Space group Fm-3m (No. 225)
Asymmetric unit:
Rb: 0.250 0.250 0.250
Tc: 0.000 0.000 0.000
Au: 0.000 0.000 0.500

---

# 2
Entry from Alexandria via LeMat-Bulk: a relaxed structure of Rb2TcAu (GGA-PBE).

Results
total energy: -3.00 eV/atom
ΔH_f (0 K): 0.90 eV per atom
distance to the lowest polymorph of the same formula: 0 meV per atom
crystal system: tetragonal

a = 12.564 Å, b = 12.564 Å, c = 5.237 Å
α = 90.00°, β = 90.00°, γ = 90.00°
Space group I-42d (No. 122)
Asymmetric unit:
Rb: 0.087 0.250 0.125
Tc: 0.000 0.000 0.500
Au: 0.000 0.000 0.000

---

# 3
Entry from Alexandria via LeMat-Bulk: a relaxed structure of RbTcW2Au (GGA-PBE).

Results
total energy: -6.09 eV/atom
ΔH_f (0 K): 2.02 eV per atom
crystal system: tetragonal

a = 4.716 Å, b = 4.716 Å, c = 6.352 Å
α = 90.00°, β = 90.00°, γ = 90.00°
Space group P4/mmm (No. 123)
Asymmetric unit:
Rb: 0.000 0.000 0.000
Tc: 0.000 0.000 0.500
W: 0.000 0.500 0.500
Au: 0.500 0.500 0.000

---

# 4
Entry from Alexandria via LeMat-Bulk: a relaxed structure of RbZnTc2Au (GGA-PBE).

Results
total energy: -3.66 eV/atom
ΔH_f (0 K): 1.59 eV per atom
crystal system: tetragonal

a = 4.842 Å, b = 4.842 Å, c = 5.987 Å
α = 90.00°, β = 90.00°, γ = 90.00°
Space group P4/mmm (No. 123)
Asymmetric unit:
Rb: 0.000 0.000 0.000
Zn: 0.000 0.000 0.500
Tc: 0.000 0.500 0.500
Au: 0.500 0.500 0.000

---

# 5
Entry from Alexandria via LeMat-Bulk: a relaxed structure of RbZn2TcAu (GGA-PBE).

Results
total energy: -2.71 eV/atom
ΔH_f (0 K): 0.72 eV per atom
crystal system: tetragonal

a = 5.049 Å, b = 5.049 Å, c = 5.377 Å
α = 90.00°, β = 90.00°, γ = 90.00°
Space group P4/mmm (No. 123)
Asymmetric unit:
Rb: 0.000 0.000 0.000
Zn: 0.000 0.500 0.500
Tc: 0.500 0.500 0.000
Au: 0.500 0.500 0.500

---

# 6
Entry from Alexandria via LeMat-Bulk: a relaxed structure of Rb2Te2Au (GGA-PBE).

Results
total energy: -2.97 eV/atom
distance to the lowest polymorph of the same formula: 6 meV per atom
crystal system: orthorhombic
formation energy (no corrections): -0.67 eV/atom

a = 8.254 Å, b = 11.348 Å, c = 4.169 Å
α = 90.00°, β = 90.00°, γ = 90.00°
Space group Pbam (No. 55)
Asymmetric unit:
Rb: 0.089 0.174 0.000
Te: 0.211 0.438 0.500
Au: 0.000 0.500 0.000

---

# 7
Entry from Alexandria via LeMat-Bulk: a relaxed structure of Rb4TeAu2 (GGA-PBE).

Results
total energy: -2.13 eV/atom
crystal system: tetragonal
formation energy (no corrections): -0.19 eV/atom

a = 6.754 Å, b = 6.754 Å, c = 20.036 Å
α = 90.00°, β = 90.00°, γ = 90.00°
Space group I4/mmm (No. 139)
Asymmetric unit:
Rb: 0.000 0.000 0.193
Rb: 0.000 0.500 0.000
Te: 0.000 0.000 0.500
Au: 0.000 0.000 0.358

---

# 8
Entry from Alexandria via LeMat-Bulk: a relaxed structure of RbTe8Au6 (GGA-PBE).

Results
total energy: -3.10 eV/atom
crystal system: trigonal
formation energy (no corrections): -0.05 eV/atom

a = 11.1292 Å, b = 11.1292 Å, c = 13.8986 Å
α = 90.00°, β = 90.00°, γ = 120.00°
Space group R-3 (No. 148, hexagonal axes)
Asymmetric unit:
Rb: 0.0000 0.0000 0.0000
Te: 0.0000 0.0000 0.2639
Te: 0.0252 0.4365 0.2435
Au: 0.0516 0.2149 0.3888

---

# 9
Entry from Alexandria via LeMat-Bulk: a relaxed structure of RbTeAu2 (GGA-PBE).

Results
total energy: -3.00 eV/atom
crystal system: tetragonal
formation energy (no corrections): -0.34 eV/atom

a = 5.540 Å, b = 5.540 Å, c = 19.492 Å
α = 90.00°, β = 90.00°, γ = 90.00°
Space group I4_1/amd (No. 141, origin choice 2)
Asymmetric unit:
Rb: 0.000 0.250 0.375
Te: 0.000 0.250 0.875
Au: 0.000 0.000 0.000

---

# 10
Entry from Alexandria via LeMat-Bulk: a relaxed structure of RbTe6Au (GGA-PBE).

Results
total energy: -2.99 eV/atom
crystal system: trigonal
formation energy (no corrections): -0.10 eV/atom

a = 6.5428 Å, b = 6.5428 Å, c = 23.3751 Å
α = 90.00°, β = 90.00°, γ = 120.00°
Space group R-3m (No. 166, hexagonal axes)
Asymmetric unit:
Rb: 0.0000 0.0000 0.0000
Te: 0.0011 0.5006 0.9253
Au: 0.0000 0.0000 0.5000

---

# 11
Entry from Alexandria via LeMat-Bulk: a relaxed structure of Rb12TeAu6 (GGA-PBE).

Results
total energy: -2.11 eV/atom
crystal system: cubic
formation energy (no corrections): -0.30 eV/atom

a = 12.083 Å, b = 12.083 Å, c = 12.083 Å
α = 90.00°, β = 90.00°, γ = 90.00°
Space group Im-3 (No. 204)
Asymmetric unit:
Rb: 0.000 0.177 0.300
Te: 0.000 0.000 0.000
Au: 0.000 0.380 0.500

---

# 12
Entry from Alexandria via LeMat-Bulk: a relaxed structure of Rb2Te3Au (GGA-PBE).

Results
total energy: -3.02 eV/atom
distance to the lowest polymorph of the same formula: 0 meV per atom
crystal system: orthorhombic
formation energy (no corrections): -0.58 eV/atom

a = 4.715 Å, b = 5.459 Å, c = 9.297 Å
α = 90.00°, β = 90.00°, γ = 90.00°
Space group Pmm2 (No. 25)
Asymmetric unit:
Rb: 0.000 0.000 0.000
Rb: 0.500 0.000 0.492
Te: 0.000 0.500 0.376
Te: 0.500 0.500 0.129
Te: 0.500 0.500 0.809
Au: 0.000 0.500 0.661

---

# 13
Entry from Alexandria via LeMat-Bulk: a relaxed structure of Rb2Te5Au4 (GGA-PBE).

Results
total energy: -3.03 eV/atom
crystal system: monoclinic
formation energy (no corrections): -0.23 eV/atom

a = 14.364 Å, b = 6.940 Å, c = 8.147 Å
α = 90.00°, β = 124.30°, γ = 90.00°
Space group C2/m (No. 12)
Asymmetric unit:
Rb: 0.002 0.000 0.273
Te: 0.000 0.500 0.500
Te: 0.217 0.255 0.207
Au: 0.052 0.500 0.894
Au: 0.183 0.500 0.445

---

# 14
Entry from Alexandria via LeMat-Bulk: a relaxed structure of Rb2Te2Au (GGA-PBE).

Results
total energy: -2.97 eV/atom
distance to the lowest polymorph of the same formula: 0 meV per atom
crystal system: orthorhombic
formation energy (no corrections): -0.67 eV/atom

a = 4.255 Å, b = 25.756 Å, c = 7.431 Å
α = 90.00°, β = 90.00°, γ = 90.00°
Space group Cmc2_1 (No. 36)
Asymmetric unit:
Rb: 0.000 0.050 0.000
Rb: 0.000 0.192 0.649
Te: 0.000 0.187 0.141
Te: 0.000 0.430 0.056
Au: 0.000 0.361 0.797

---

# 15
Entry from Alexandria via LeMat-Bulk: a relaxed structure of Rb8TeAu2 (GGA-PBE).

Results
total energy: -1.88 eV/atom
crystal system: triclinic
formation energy (no corrections): -0.29 eV/atom

a = 8.968 Å, b = 10.052 Å, c = 10.053 Å
α = 60.02°, β = 89.92°, γ = 89.97°
Space group P-1 (No. 2)
Asymmetric unit:
Rb: 0.157 0.334 0.332
Rb: 0.269 0.837 0.328
Rb: 0.270 0.329 0.834
Rb: 0.270 0.835 0.836
Te: 0.500 0.000 0.000
Au: 0.464 0.667 0.665

---

# 16
Entry from Alexandria via LeMat-Bulk: a relaxed structure of Rb2Te2Au (GGA-PBE).

Results
total energy: -2.87 eV/atom
distance to the lowest polymorph of the same formula: 106 meV per atom
crystal system: tetragonal
formation energy (no corrections): -0.57 eV/atom

a = 7.300 Å, b = 7.300 Å, c = 9.235 Å
α = 90.00°, β = 90.00°, γ = 90.00°
Space group I4/mmm (No. 139)
Asymmetric unit:
Rb: 0.000 0.500 0.250
Te: 0.000 0.000 0.220
Au: 0.000 0.000 0.500

---

# 17
Entry from Alexandria via LeMat-Bulk: a relaxed structure of Rb4TeAu (GGA-PBE).

Results
total energy: -2.23 eV/atom
distance to the lowest polymorph of the same formula: 47 meV per atom
crystal system: monoclinic
formation energy (no corrections): -0.52 eV/atom

a = 9.381 Å, b = 6.390 Å, c = 10.026 Å
α = 90.00°, β = 93.16°, γ = 90.00°
Space group C2/m (No. 12)
Asymmetric unit:
Rb: 0.144 0.000 0.362
Rb: 0.156 0.500 0.137
Te: 0.000 0.000 0.000
Au: 0.000 0.500 0.500

---

# 18
Entry from Alexandria via LeMat-Bulk: a relaxed structure of Rb12Te5Au3 (GGA-PBE).

Results
total energy: -2.43 eV/atom
crystal system: cubic
formation energy (no corrections): -0.57 eV/atom

a = 21.314 Å, b = 21.314 Å, c = 21.314 Å
α = 90.00°, β = 90.00°, γ = 90.00°
Space group Ia-3d (No. 230)
Asymmetric unit:
Rb: 0.028 0.074 0.646
Te: 0.000 0.000 0.000
Te: 0.000 0.250 0.375
Au: 0.000 0.250 0.125

---

# 19
Entry from Alexandria via LeMat-Bulk: a relaxed structure of Rb2Te3Au (GGA-PBE).

Results
total energy: -2.88 eV/atom
distance to the lowest polymorph of the same formula: 137 meV per atom
crystal system: trigonal
formation energy (no corrections): -0.44 eV/atom

a = 7.8372 Å, b = 7.8372 Å, c = 12.8258 Å
α = 90.00°, β = 90.00°, γ = 120.00°
Space group P-3m1 (No. 164)
Asymmetric unit:
Rb: 0.0000 0.0000 0.0000
Rb: 0.0000 0.0000 0.5000
Rb: 0.3333 0.6667 0.2504
Te: 0.1400 0.2800 0.7498
Au: 0.3333 0.6667 0.7493

---

# 20
Entry from Alexandria via LeMat-Bulk: a relaxed structure of Rb3Te2Au2 (GGA-PBE).

Results
total energy: -2.90 eV/atom
crystal system: orthorhombic
formation energy (no corrections): -0.65 eV/atom

a = 4.833 Å, b = 5.368 Å, c = 20.631 Å
α = 90.00°, β = 90.00°, γ = 90.00°
Space group Immm (No. 71)
Asymmetric unit:
Rb: 0.000 0.000 0.000
Rb: 0.000 0.500 0.317
Te: 0.000 0.500 0.133
Au: 0.000 0.000 0.432

---

Number 1: size of the total moment 16.1 μB/cell. Number 2: size of the total moment 15.0 μB/cell. Number 3: size of the total moment 2.0 μB/cell. Number 4: size of the total moment 6.4 μB/cell. Number 5: size of the total moment 3.7 μB/cell. Number 6: size of the total moment 0.0 μB/cell. Number 7: size of the total moment 0.5 μB/cell. Number 8: size of the total moment 0.0 μB/cell. Number 9: size of the total moment 0.0 μB/cell. Number 10: size of the total moment 0.0 μB/cell. Number 11: size of the total moment 2.8 μB/cell. Number 12: size of the total moment 0.0 μB/cell. Number 13: size of the total moment 0.0 μB/cell. Number 14: size of the total moment 0.0 μB/cell. Number 15: size of the total moment 0.0 μB/cell. Number 16: size of the total moment 0.0 μB/cell. Number 17: size of the total moment 0.6 μB/cell. Number 18: size of the total moment 11.4 μB/cell. Number 19: size of the total moment 0.0 μB/cell. Number 20: size of the total moment 0.0 μB/cell.